# 1
Here is a relaxed ZrSc2Rh crystal from Alexandria. Energies are from PBEsol.

a = 3.345 Å, b = 4.797 Å, c = 5.676 Å
α = 114.99°, β = 107.14°, γ = 90.00°
Element x y z (fractional)
Sc 0.037 0.037 0.075
Sc 0.249 0.749 0.497
Rh 0.751 0.251 0.503
Zr 0.463 0.463 0.926

Computed properties:
ΔH_f (0 K): -0.47 eV per atom



# 2
Here is a relaxed ZrSc2Rh crystal from Alexandria. Energies are from PBEsol.

a = 3.910 Å, b = 3.910 Å, c = 5.689 Å
α = 110.10°, β = 110.10°, γ = 90.00°
Element x y z (fractional)
Rh 0.000 0.000 0.000
Sc 0.750 0.250 0.500
Sc 0.250 0.750 0.500
Zr 0.500 0.500 0.000

Computed properties:
ΔH_f (0 K): -0.25 eV per atom



# 3
Here is a relaxed ZrSc2Rh crystal from Alexandria. Energies are from PBEsol.

a = 3.068 Å, b = 3.068 Å, c = 9.976 Å
α = 81.16°, β = 81.16°, γ = 60.00°
Element x y z (fractional)
Sc 0.920 0.920 0.240
Sc 0.080 0.080 0.760
Rh 0.000 0.000 0.000
Zr 0.500 0.500 0.500

Computed properties:
ΔH_f (0 K): 0.06 eV per atom



# 4
Here is a relaxed ZrSc2Rh crystal from Alexandria. Energies are from PBEsol.

a = 3.313 Å, b = 4.748 Å, c = 5.713 Å
α = 114.55°, β = 106.85°, γ = 90.00°
Element x y z (fractional)
Sc 0.786 0.786 0.572
Sc 0.214 0.214 0.428
Rh 0.500 0.000 0.000
Zr 0.000 0.500 0.000

Computed properties:
ΔH_f (0 K): -0.44 eV per atom



# 5
Here is a relaxed RhSe2 crystal from Alexandria. Energies are from PBEsol.

a = 3.730 Å, b = 4.907 Å, c = 6.470 Å
α = 90.00°, β = 106.75°, γ = 90.00°
Element x y z (fractional)
Rh 0.162 0.250 0.325
Rh 0.838 0.750 0.675
Se 0.535 0.250 0.069
Se 0.465 0.750 0.931
Se 0.795 0.250 0.590
Se 0.205 0.750 0.410

Computed properties:
formation energy (no corrections): -1.18 eV/f.u.



# 6
Here is a relaxed Rh2Se crystal from Alexandria. Energies are from PBEsol.

a = 3.712 Å, b = 3.920 Å, c = 7.591 Å
α = 90.00°, β = 104.15°, γ = 90.00°
Element x y z (fractional)
Rh 0.569 0.750 0.139
Rh 0.940 0.750 0.879
Rh 0.060 0.250 0.121
Rh 0.431 0.250 0.861
Se 0.334 0.750 0.668
Se 0.666 0.250 0.332

Computed properties:
formation energy (no corrections): -0.58 eV/f.u.



How do the records compare in N(E_F)? In the order shown, they have 3.21; 5.46; 4.23; 2.80; 1.94; 3.56 states/eV per cell.
How do the records compare in total energy? In the order shown, they have -32.30; -31.43; -30.22; -32.21; -34.04; -41.42 eV for the cell shown.